[1]
This record from Alexandria via LeMat-Bulk describes an optimized crystal structure of SrAsP. The functional is PBE-GGA. Values from VASP.

Geometry as Quantum ESPRESSO input:
```
&SYSTEM
  ibrav = 0, nat = 3, ntyp = 3
/
ATOMIC_SPECIES
Sr 87.62 Sr.upf
As 74.92 As.upf
P 30.97 P.upf
CELL_PARAMETERS angstrom
0.000 3.469 3.469
3.469 0.000 3.469
3.469 3.469 0.000
ATOMIC_POSITIONS angstrom
Sr 0.000 0.000 0.000
As 5.204 5.204 5.204
P 3.469 3.469 3.469
```

Output
* size of the total moment: 0.0 μB per formula unit
* electronic total energy: -12.16 eV for the cell shown
* polymorph energy (0 for the lowest one): 522 meV/atom
* crystal system: cubic
* formation energy from the elements: -0.4 eV per formula unit


[2]
This record from Alexandria via LeMat-Bulk describes an optimized crystal structure of RbCuSi2. The functional is PBE-GGA. Values from VASP.

Geometry as Quantum ESPRESSO input:
```
&SYSTEM
  ibrav = 0, nat = 8, ntyp = 3
/
ATOMIC_SPECIES
Rb 85.47 Rb.upf
Cu 63.55 Cu.upf
Si 28.09 Si.upf
CELL_PARAMETERS angstrom
-2.514 2.514 8.127
2.514 -2.514 8.127
2.514 2.514 -8.127
ATOMIC_POSITIONS angstrom
Rb 2.514 1.257 2.032
Rb 0.000 1.257 6.095
Cu 2.514 -1.257 6.095
Cu 0.000 3.772 2.032
Si 0.000 0.000 0.000
Si 1.257 1.257 -4.063
Si 1.257 -1.257 4.063
Si 0.000 2.514 0.000
```

Output
* size of the total moment: 0.0 μB per formula unit
* electronic total energy: -29.34 eV for the cell shown
* polymorph energy (0 for the lowest one): 0 meV/atom
* crystal system: tetragonal
* energy relative to the elements, uncorrected: 0.310 eV per atom


[3]
This record from Alexandria via LeMat-Bulk describes an optimized crystal structure of Cs3SmAg2Cl8. The functional is PBE-GGA. Values from VASP.

Geometry as Quantum ESPRESSO input:
```
&SYSTEM
  ibrav = 0, nat = 14, ntyp = 4
/
ATOMIC_SPECIES
Cs 132.91 Cs.upf
Sm 150.36 Sm.upf
Ag 107.87 Ag.upf
Cl 35.45 Cl.upf
CELL_PARAMETERS angstrom
7.612 0.000 0.000
-3.806 6.592 0.000
0.000 0.000 10.214
ATOMIC_POSITIONS angstrom
Cs 0.000 0.000 0.000
Cs 0.000 4.395 6.505
Cs 3.806 2.197 3.709
Sm 0.000 0.000 5.107
Ag 0.000 4.395 1.969
Ag 3.806 2.197 8.244
Cl 0.000 2.175 3.509
Cl -1.923 5.505 3.509
Cl 1.883 1.087 6.705
Cl 0.000 4.395 9.774
Cl 3.806 2.197 0.439
Cl 1.923 5.505 3.509
Cl 5.729 1.087 6.705
Cl 3.806 4.418 6.705
```

Output
* size of the total moment: 0.0 μB per formula unit
* electronic total energy: -50.52 eV for the cell shown
* crystal system: trigonal
* energy relative to the elements, uncorrected: -1.626 eV per atom


[4]
This record from Alexandria via LeMat-Bulk describes an optimized crystal structure of ErCoIr. The functional is PBE-GGA. Values from VASP.

Geometry as Quantum ESPRESSO input:
```
&SYSTEM
  ibrav = 0, nat = 6, ntyp = 3
/
ATOMIC_SPECIES
Er 167.26 Er.upf
Co 58.93 Co.upf
Ir 192.22 Ir.upf
CELL_PARAMETERS angstrom
-2.513 2.692 3.642
2.513 -2.692 3.642
2.513 2.692 -3.642
ATOMIC_POSITIONS angstrom
Er 0.000 1.346 0.884
Er 2.513 1.346 2.758
Co 1.257 1.346 -1.821
Co 1.257 -1.346 1.821
Ir 2.513 0.000 0.000
Ir 0.000 0.000 3.642
```

Output
* size of the total moment: 0.9 μB per formula unit
* electronic total energy: -44.61 eV for the cell shown
* crystal system: orthorhombic
* formation energy from the elements: -1.8 eV per formula unit